# CePaAl2 (PBE, optimized geometry)
data_CePaAl2
_chemical_formula_sum 'Ce4 Pa4 Al8'
_cell_length_a 7.229
_cell_length_b 7.229
_cell_length_c 7.229
_cell_angle_alpha 90.00
_cell_angle_beta 90.00
_cell_angle_gamma 90.00
_space_group_name_H-M_alt 'F m -3 m'
_space_group_IT_number 225
_space_group_name_Hall '-F 4 2 3'
loop_
_atom_site_label
_atom_site_fract_x
_atom_site_fract_y
_atom_site_fract_z
Ce1 0.000 0.000 0.000
Pa1 0.000 0.000 0.500
Al1 0.250 0.250 0.250
# raw total energy: -5.77 eV/atom
# ΔE to the lowest computed polymorph: 76 kJ/mol of formula units
# DFT formation energy: -46 meV/atom